[1]
Here is a geometry-optimized YMn2AlC structure from the Alexandria database. Energies are from PBE.

Unit cell a=3.8287 b=10.7569 c=7.1327 alpha=90.00 beta=90.00 gamma=90.00
Space group Cmcm (No. 63)
Symmetry-distinct sites (fractional):
Y (0.0000, 0.0406, 0.2500)
Mn (0.0000, 0.3354, 0.0663)
Al (0.0000, 0.2387, 0.7500)
C (0.0000, 0.5000, 0.0000)

The calculation puts the calculated density at 5.38 g/cm³. For the calculated total energy, the calculation gives -155.5 eV for the cell shown. Its density of states at the Fermi level is 0.66 states/eV per atom.

[2]
Here is a geometry-optimized SrHgRh structure from the Alexandria database. Energies are from PBE.

Unit cell a=16.9507 b=4.5569 c=4.3388 alpha=90.00 beta=100.20 gamma=90.00
Space group C2/m (No. 12)
Symmetry-distinct sites (fractional):
Sr (0.1009, 0.0000, 0.3216)
Hg (0.1965, 0.5000, 0.8871)
Rh (0.0334, 0.5000, 0.7737)

The calculation puts the calculated density at 7.88 g/cm³. For the calculated total energy, the calculation gives -41.3 eV for the cell shown. Its density of states at the Fermi level is 0.71 states/eV per atom.

[3]
Here is a geometry-optimized Mn2TlFe structure from the Alexandria database. Energies are from PBE.

Unit cell a=2.8330 b=4.1048 c=5.5795 alpha=90.00 beta=104.12 gamma=90.00
Space group P2/m (No. 10)
Symmetry-distinct sites (fractional):
Mn (0.0938, 0.0000, 0.2865)
Tl (0.5000, 0.5000, 0.0000)
Fe (0.5000, 0.5000, 0.5000)

The calculation puts the calculated density at 9.77 g/cm³. The value obtained for the excess energy over the best structure of this formula in the dataset is 0.440 eV/f.u. For the calculated total energy, the calculation gives -27.1 eV for the cell shown. Its density of states at the Fermi level is 0.72 states/eV per atom.

[4]
Here is a geometry-optimized Ba4AlBi8 structure from the Alexandria database. Energies are from PBE.

Unit cell a=4.8255 b=5.1975 c=19.1029 alpha=90.00 beta=90.00 gamma=90.00
Space group Pmm2 (No. 25)
Symmetry-distinct sites (fractional):
Ba (0.0000, 0.0000, 0.0000)
Ba (0.0000, 0.5000, 0.4802)
Ba (0.5000, 0.0000, 0.7852)
Ba (0.5000, 0.5000, 0.2844)
Al (0.0000, 0.5000, 0.7110)
Bi (0.0000, 0.0000, 0.3203)
Bi (0.0000, 0.0000, 0.6292)
Bi (0.0000, 0.5000, 0.1344)
Bi (0.0000, 0.5000, 0.8607)
Bi (0.5000, 0.0000, 0.1475)
Bi (0.5000, 0.0000, 0.4314)
Bi (0.5000, 0.5000, 0.6287)
Bi (0.5000, 0.5000, 0.9791)

The calculation puts the calculated density at 7.79 g/cm³. For the calculated total energy, the calculation gives -49.7 eV for the cell shown. Its density of states at the Fermi level is 0.39 states/eV per atom.

[5]
Here is a geometry-optimized SrPm3Se4 structure from the Alexandria database. Energies are from PBE.

Unit cell a=5.9933 b=5.9933 c=12.0296 alpha=90.00 beta=90.00 gamma=90.00
Space group I4/mmm (No. 139)
Symmetry-distinct sites (fractional):
Sr (0.0000, 0.0000, 0.0000)
Pm (0.0000, 0.0000, 0.5000)
Pm (0.0000, 0.5000, 0.2500)
Se (0.0000, 0.0000, 0.2511)
Se (0.0000, 0.5000, 0.0000)

The energy relative to the elements, uncorrected comes out at -1.87 eV per atom. The calculation puts the calculated density at 6.44 g/cm³. For the calculated total energy, the calculation gives -89.6 eV for the cell shown. Its density of states at the Fermi level is 0.23 states/eV per atom.

[6]
Here is a geometry-optimized HfSbP2S structure from the Alexandria database. Energies are from PBE.

Unit cell a=5.0620 b=5.0620 c=4.7831 alpha=90.00 beta=90.00 gamma=90.00
Space group P4/mmm (No. 123)
Symmetry-distinct sites (fractional):
Hf (0.0000, 0.0000, 0.0000)
Sb (0.5000, 0.5000, 0.5000)
P (0.0000, 0.5000, 0.0000)
S (0.0000, 0.0000, 0.5000)

The energy relative to the elements, uncorrected comes out at 0.14 eV per atom. The calculation puts the calculated density at 5.34 g/cm³. The value obtained for the excess energy over the best structure of this formula in the dataset is 0.000 eV/f.u. For the calculated total energy, the calculation gives -28.3 eV for the cell shown. Its density of states at the Fermi level is 0.77 states/eV per atom.

[7]
Here is a geometry-optimized Pm5Si2N structure from the Alexandria database. Energies are from PBE.

Unit cell a=5.7054 b=12.1786 c=13.0838 alpha=90.00 beta=90.00 gamma=90.00
Space group Cmcm (No. 63)
Symmetry-distinct sites (fractional):
Pm (0.0000, 0.0565, 0.1266)
Pm (0.0000, 0.2981, 0.7500)
Pm (0.0000, 0.3387, 0.1050)
Si (0.0000, 0.1754, 0.5663)
N (0.0000, 0.2092, 0.2500)

The energy relative to the elements, uncorrected comes out at -0.47 eV per atom. The calculation puts the calculated density at 5.81 g/cm³. For the calculated total energy, the calculation gives -186.9 eV for the cell shown. Its density of states at the Fermi level is 0.89 states/eV per atom.

[8]
Here is a geometry-optimized LaCuSi2 structure from the Alexandria database. Energies are from PBE.

Unit cell a=4.2172 b=5.5676 c=6.7317 alpha=90.00 beta=90.00 gamma=90.00
Space group Cmmm (No. 65)
Symmetry-distinct sites (fractional):
La (0.0000, 0.0000, 0.0000)
Cu (0.0000, 0.0000, 0.5000)
Si (0.0000, 0.5000, 0.3197)

The energy relative to the elements, uncorrected comes out at -0.17 eV per atom. The calculation puts the calculated density at 5.43 g/cm³. For the calculated total energy, the calculation gives -41.1 eV for the cell shown. Its density of states at the Fermi level is 0.47 states/eV per atom.

[9]
Here is a geometry-optimized Y3Ho12Er structure from the Alexandria database. Energies are from PBE.

Unit cell a=4.9971 b=4.9971 c=19.9767 alpha=90.00 beta=90.00 gamma=90.00
Space group P4/mmm (No. 123)
Symmetry-distinct sites (fractional):
Y (0.0000, 0.0000, 0.0000)
Y (0.0000, 0.0000, 0.2506)
Ho (0.0000, 0.5000, 0.1254)
Ho (0.0000, 0.5000, 0.3761)
Ho (0.5000, 0.5000, 0.0000)
Ho (0.5000, 0.5000, 0.2508)
Ho (0.5000, 0.5000, 0.5000)
Er (0.0000, 0.0000, 0.5000)

The calculation puts the calculated density at 8.03 g/cm³. For the calculated total energy, the calculation gives -78.5 eV for the cell shown. Its density of states at the Fermi level is 1.32 states/eV per atom.

[10]
Here is a geometry-optimized Tb5PmTe8 structure from the Alexandria database. Energies are from PBE.

Unit cell a=10.0289 b=10.0289 c=8.7987 alpha=90.00 beta=90.00 gamma=90.00
Space group I-4 (No. 82)
Symmetry-distinct sites (fractional):
Tb (0.0000, 0.0000, 0.0000)
Tb (0.2024, 0.7513, 0.3755)
Pm (0.0000, 0.5000, 0.7500)
Te (0.0501, 0.6932, 0.0754)
Te (0.0516, 0.8117, 0.6756)

The energy relative to the elements, uncorrected comes out at -1.36 eV per atom. The calculation puts the calculated density at 7.36 g/cm³. For the calculated total energy, the calculation gives -144.1 eV for the cell shown. Its density of states at the Fermi level is 0.51 states/eV per atom.

[11]
Here is a geometry-optimized BiPS2N structure from the Alexandria database. Energies are from PBE.

Unit cell a=5.2456 b=5.2456 c=5.5974 alpha=90.00 beta=90.00 gamma=90.00
Space group P4/mmm (No. 123)
Symmetry-distinct sites (fractional):
Bi (0.0000, 0.0000, 0.0000)
P (0.0000, 0.0000, 0.5000)
S (0.0000, 0.5000, 0.0000)
N (0.5000, 0.5000, 0.5000)

The energy relative to the elements, uncorrected comes out at 1.87 eV per atom. The calculation puts the calculated density at 3.43 g/cm³. The value obtained for the excess energy over the best structure of this formula in the dataset is 7.423 eV/f.u. For the calculated total energy, the calculation gives -16.5 eV for the cell shown. Its density of states at the Fermi level is 1.04 states/eV per atom.

[12]
Here is a geometry-optimized Li2Ca2Pb3 structure from the Alexandria database. Energies are from PBE.

Unit cell a=4.7445 b=20.7604 c=7.7530 alpha=90.00 beta=90.00 gamma=90.00
Space group Cmcm (No. 63)
Symmetry-distinct sites (fractional):
Li (0.0000, 0.1972, 0.0600)
Ca (0.0000, 0.3401, 0.2500)
Ca (0.0000, 0.4504, 0.7500)
Pb (0.0000, 0.0695, 0.5539)
Pb (0.0000, 0.2806, 0.7500)

The calculation puts the calculated density at 6.22 g/cm³. For the calculated total energy, the calculation gives -86.4 eV for the cell shown. Its density of states at the Fermi level is 0.56 states/eV per atom.

Please write out number 3 again, unchanged.
Here is a geometry-optimized Mn2TlFe structure from the Alexandria database. Energies are from PBE.

Unit cell a=2.8330 b=4.1048 c=5.5795 alpha=90.00 beta=104.12 gamma=90.00
Space group P2/m (No. 10)
Symmetry-distinct sites (fractional):
Mn (0.0938, 0.0000, 0.2865)
Tl (0.5000, 0.5000, 0.0000)
Fe (0.5000, 0.5000, 0.5000)

The calculation puts the calculated density at 9.77 g/cm³. The value obtained for the excess energy over the best structure of this formula in the dataset is 0.440 eV/f.u. For the calculated total energy, the calculation gives -27.1 eV for the cell shown. Its density of states at the Fermi level is 0.72 states/eV per atom.